# 1
Below is a geometry-optimized Pm6CSe2S3 structure, with properties calculated at the PBE level.

Geometry as CIF:
```
data_Pm6CSe2S3
_chemical_formula_sum 'Pm12 C2 Se4 S6'
_cell_length_a 17.8002
_cell_length_b 3.9944
_cell_length_c 8.2060
_cell_angle_alpha 90.00
_cell_angle_beta 102.59
_cell_angle_gamma 90.00
_space_group_name_H-M_alt 'C 1 2/m 1'
_space_group_IT_number 12
loop_
_space_group_symop_operation_xyz
'x,y,z'
'-x,-y,-z'
'-x,y,-z'
'x,-y,z'
'x+1/2,y+1/2,z'
'-x+1/2,-y+1/2,-z'
'-x+1/2,y+1/2,-z'
'x+1/2,-y+1/2,z'
loop_
_atom_site_label
_atom_site_fract_x
_atom_site_fract_y
_atom_site_fract_z
Pm1 0.0014 0.0000 0.2844
Pm2 0.1472 0.5000 0.5655
Pm3 0.1577 0.5000 0.0942
C1 0.0000 0.5000 0.5000
Se1 0.1695 0.0000 0.8367
S1 0.0000 0.5000 0.0000
S2 0.1687 0.0000 0.3374
```

Formation energy (no corrections): -39.07 kcal/mol of atoms
Final energy: -6.451 eV per atom
D(E_F): 0.29 states/eV per atom

***

# 2
Below is a geometry-optimized Li2LaCe2In2 structure, with properties calculated at the PBE level.

Geometry as CIF:
```
data_Li2LaCe2In2
_chemical_formula_sum 'Li6 La3 Ce6 In6'
_cell_length_a 4.6842
_cell_length_b 4.6842
_cell_length_c 28.3459
_cell_angle_alpha 90.00
_cell_angle_beta 90.00
_cell_angle_gamma 120.00
_space_group_name_H-M_alt 'R -3 m'
_space_group_IT_number 166
_space_group_name_Hall '-R 3 2"'
loop_
_atom_site_label
_atom_site_fract_x
_atom_site_fract_y
_atom_site_fract_z
Li1 0.0000 0.0000 0.0815
La1 0.0000 0.0000 0.5000
Ce1 0.0000 0.0000 0.3550
In1 0.0000 0.0000 0.2397
```

Energy of formation: -0.234 eV/atom
Final energy: -3.962 eV per atom
D(E_F): 1.42 states/eV per atom

***

# 3
Below is a geometry-optimized Tl2FeSe structure, with properties calculated at the PBE level.

Geometry as CIF:
```
data_Tl2FeSe
_chemical_formula_sum 'Tl2 Fe1 Se1'
_cell_length_a 3.8088
_cell_length_b 3.8088
_cell_length_c 6.3612
_cell_angle_alpha 90.00
_cell_angle_beta 90.00
_cell_angle_gamma 90.00
_space_group_name_H-M_alt 'P 4/m m m'
_space_group_IT_number 123
_space_group_name_Hall '-P 4 2'
loop_
_atom_site_label
_atom_site_fract_x
_atom_site_fract_y
_atom_site_fract_z
Tl1 0.0000 0.0000 0.2405
Fe1 0.5000 0.5000 0.0000
Se1 0.5000 0.5000 0.5000
```

Formation energy (no corrections): 10.44 kcal/mol of atoms
Final energy: -3.717 eV per atom
D(E_F): 1.23 states/eV per atom

***

# 4
Below is a geometry-optimized LiTaW2 structure, with properties calculated at the PBE level.

Geometry as CIF:
```
data_LiTaW2
_chemical_formula_sum 'Li4 Ta4 W8'
_cell_length_a 7.0746
_cell_length_b 7.0746
_cell_length_c 5.2351
_cell_angle_alpha 90.00
_cell_angle_beta 90.00
_cell_angle_gamma 90.00
_space_group_name_H-M_alt 'I -4 2 d'
_space_group_IT_number 122
_space_group_name_Hall 'I -4 2bw'
loop_
_atom_site_label
_atom_site_fract_x
_atom_site_fract_y
_atom_site_fract_z
Li1 0.0000 0.0000 0.0000
Ta1 0.0000 0.0000 0.5000
W1 0.2260 0.2500 0.1250
```

Energy of formation: 1.003 eV/atom
Final energy: -8.915 eV per atom
D(E_F): 0.99 states/eV per atom